[1]
{
  "formula": "Pm7Te4P4",
  "functional": "PBE-GGA",
  "state": "optimized geometry",
  "sg": "I4/mmm",
  "e_form_raw_mev_per_atom": -1324,
  "m_tot_mub_per_atom": 0.042,
  "total_energy_ev_per_atom": -5.821,
  "lattice": [[-7.5268, 7.5268, 3.7454], [7.5268, -7.5268, 3.7454], [7.5268, 7.5268, -3.7454]],
  "species": ["Pm", "Pm", "Pm", "Pm", "Pm", "Pm", "Pm", "Pm", "Pm", "Pm", "Pm", "Pm", "Pm", "Pm", "Te", "Te", "Te", "Te", "Te", "Te", "Te", "Te", "P", "P", "P", "P", "P", "P", "P", "P"],
  "frac_coords": [[0.0000, 0.2884, 0.2884], [0.0000, 0.7116, 0.7116], [0.1339, 0.5000, 0.6339], [0.2432, 0.2432, 0.0000], [0.2850, 0.2850, 0.5700], [0.2850, 0.7150, 0.0000], [0.2884, 0.0000, 0.2884], [0.5000, 0.1339, 0.6339], [0.5000, 0.8661, 0.3661], [0.7116, 0.0000, 0.7116], [0.7150, 0.2850, 0.0000], [0.7150, 0.7150, 0.4300], [0.7568, 0.7568, 0.0000], [0.8661, 0.5000, 0.3661], [0.1276, 0.1276, 0.2552], [0.1276, 0.8724, 0.0000], [0.3311, 0.5000, 0.8311], [0.5000, 0.3311, 0.8311], [0.5000, 0.6689, 0.1689], [0.6689, 0.5000, 0.1689], [0.8724, 0.1276, 0.0000], [0.8724, 0.8724, 0.7448], [0.1058, 0.6058, 0.2116], [0.1058, 0.8942, 0.5000], [0.3942, 0.6058, 0.5000], [0.3942, 0.8942, 0.7884], [0.6058, 0.1058, 0.2116], [0.6058, 0.3942, 0.5000], [0.8942, 0.1058, 0.5000], [0.8942, 0.3942, 0.7884]]
}

***

[2]
{
  "formula": "PmGe2Pt6",
  "functional": "PBE-GGA",
  "state": "optimized geometry",
  "sg": "P6/mmm",
  "e_above_lowest_polymorph_ev_per_atom": 0.000,
  "m_tot_mub_per_atom": 0.000,
  "total_energy_ev_per_atom": -6.205,
  "formation_energy_ev_per_atom": -0.6239,
  "lattice": [[5.5539, 0.0000, 0.0000], [-2.7769, 4.8098, 0.0000], [0.0000, 0.0000, 6.7002]],
  "species": ["Pm", "Ge", "Ge", "Pt", "Pt", "Pt", "Pt", "Pt", "Pt"],
  "frac_coords": [[0.0000, 0.0000, 0.0000], [0.3333, 0.6667, 0.5000], [0.6667, 0.3333, 0.5000], [0.0000, 0.5000, 0.2112], [0.0000, 0.5000, 0.7888], [0.5000, 0.0000, 0.2112], [0.5000, 0.0000, 0.7888], [0.5000, 0.5000, 0.2112], [0.5000, 0.5000, 0.7888]]
}

***

[3]
{
  "formula": "MnCuBr6",
  "functional": "PBE-GGA",
  "state": "optimized geometry",
  "sg": "P-1",
  "e_form_raw_mev_per_atom": -328,
  "e_above_lowest_polymorph_ev_per_atom": 0.074,
  "m_tot_mub_per_atom": 0.261,
  "total_energy_ev_per_atom": -3.241,
  "lattice": [[6.4558, 0.0000, 0.0000], [-3.2274, 5.5967, 0.0000], [-0.0046, -3.7261, 5.7109]],
  "species": ["Mn", "Cu", "Br", "Br", "Br", "Br", "Br", "Br"],
  "frac_coords": [[0.0000, 0.0000, 0.0000], [0.5000, 0.0000, 0.5000], [0.0958, 0.8546, 0.2461], [0.2408, 0.8496, 0.7539], [0.3911, 0.4864, 0.2457], [0.6089, 0.5136, 0.7543], [0.7592, 0.1504, 0.2461], [0.9042, 0.1454, 0.7539]]
}

***

[4]
{
  "formula": "K2SrTc",
  "functional": "PBE-GGA",
  "state": "optimized geometry",
  "sg": "Immm",
  "e_above_lowest_polymorph_ev_per_atom": 0.016,
  "m_tot_mub_per_atom": 0.530,
  "total_energy_ev_per_atom": -2.681,
  "formation_energy_ev_per_atom": 0.8801,
  "lattice": [[-1.7887, 2.5698, 9.9341], [1.7887, -2.5698, 9.9341], [1.7887, 2.5698, -9.9341]],
  "species": ["K", "K", "Sr", "Tc"],
  "frac_coords": [[0.1576, 0.1576, 0.0000], [0.8424, 0.8424, 0.0000], [0.5000, 0.0000, 0.5000], [0.0000, 0.5000, 0.5000]]
}

***

[5]
{
  "formula": "CeTmMg4",
  "functional": "PBE-GGA",
  "state": "optimized geometry",
  "sg": "F-43m",
  "m_tot_mub_per_atom": 0.182,
  "total_energy_ev_per_atom": -2.812,
  "formation_energy_ev_per_atom": -0.0148,
  "lattice": [[0.0000, 4.2602, 4.2602], [4.2602, 0.0000, 4.2602], [4.2602, 4.2602, 0.0000]],
  "species": ["Ce", "Tm", "Mg", "Mg", "Mg", "Mg"],
  "frac_coords": [[0.0000, 0.0000, 0.0000], [0.2500, 0.2500, 0.2500], [0.1256, 0.6248, 0.6248], [0.6248, 0.1256, 0.6248], [0.6248, 0.6248, 0.1256], [0.6248, 0.6248, 0.6248]]
}

***

[6]
{
  "formula": "ScTcBiO6",
  "functional": "PBE-GGA",
  "state": "optimized geometry",
  "sg": "P-31c",
  "e_form_raw_mev_per_atom": -1883,
  "m_tot_mub_per_atom": 0.105,
  "total_energy_ev_per_atom": -7.475,
  "lattice": [[5.3329, 0.0000, 0.0000], [-2.6665, 4.6184, 0.0000], [0.0000, 0.0000, 9.8184]],
  "species": ["Sc", "Sc", "Tc", "Tc", "Bi", "Bi", "O", "O", "O", "O", "O", "O", "O", "O", "O", "O", "O", "O"],
  "frac_coords": [[0.3333, 0.6667, 0.2500], [0.6667, 0.3333, 0.7500], [0.3333, 0.6667, 0.7500], [0.6667, 0.3333, 0.2500], [0.0000, 0.0000, 0.0000], [0.0000, 0.0000, 0.5000], [0.0230, 0.3748, 0.6391], [0.0230, 0.6482, 0.8609], [0.3518, 0.3748, 0.8609], [0.3518, 0.9770, 0.6391], [0.3748, 0.0230, 0.1391], [0.3748, 0.3518, 0.3609], [0.6252, 0.6482, 0.6391], [0.6252, 0.9770, 0.8609], [0.6482, 0.0230, 0.3609], [0.6482, 0.6252, 0.1391], [0.9770, 0.3518, 0.1391], [0.9770, 0.6252, 0.3609]]
}

***

[7]
{
  "formula": "MgTaCrIr",
  "functional": "PBE-GGA",
  "state": "optimized geometry",
  "sg": "F-43m",
  "m_tot_mub_per_atom": 0.497,
  "total_energy_ev_per_atom": -8.159,
  "formation_energy_ev_per_atom": -0.1756,
  "lattice": [[0.0000, 3.1416, 3.1416], [3.1416, 0.0000, 3.1416], [3.1416, 3.1416, 0.0000]],
  "species": ["Mg", "Ta", "Cr", "Ir"],
  "frac_coords": [[0.0000, 0.0000, 0.0000], [0.5000, 0.5000, 0.5000], [0.7500, 0.7500, 0.7500], [0.2500, 0.2500, 0.2500]]
}

***

[8]
{
  "formula": "TbVTc",
  "functional": "PBE-GGA",
  "state": "optimized geometry",
  "sg": "Pbcm",
  "e_above_lowest_polymorph_ev_per_atom": 0.000,
  "m_tot_mub_per_atom": 0.000,
  "total_energy_ev_per_atom": -8.028,
  "formation_energy_ev_per_atom": 0.0102,
  "lattice": [[5.8904, 0.0000, 0.0000], [0.0000, 7.4649, 0.0000], [0.0000, 0.0000, 5.4088]],
  "species": ["Tb", "Tb", "Tb", "Tb", "V", "V", "V", "V", "Tc", "Tc", "Tc", "Tc"],
  "frac_coords": [[0.1215, 0.1060, 0.2500], [0.1215, 0.3940, 0.7500], [0.8785, 0.6060, 0.2500], [0.8785, 0.8940, 0.7500], [0.3952, 0.0280, 0.7500], [0.3952, 0.4720, 0.2500], [0.6048, 0.5280, 0.7500], [0.6048, 0.9720, 0.2500], [0.3783, 0.7500, 0.0000], [0.3783, 0.7500, 0.5000], [0.6217, 0.2500, 0.0000], [0.6217, 0.2500, 0.5000]]
}

***

[9]
{
  "formula": "Dy7Bi2Rh2",
  "functional": "PBE-GGA",
  "state": "optimized geometry",
  "sg": "Imm2",
  "e_above_lowest_polymorph_ev_per_atom": 0.000,
  "m_tot_mub_per_atom": 0.000,
  "total_energy_ev_per_atom": -5.613,
  "formation_energy_ev_per_atom": -0.6418,
  "lattice": [[-1.8902, 8.1887, 4.9371], [1.8902, -8.1887, 4.9371], [1.8902, 8.1887, -4.9371]],
  "species": ["Dy", "Dy", "Dy", "Dy", "Dy", "Dy", "Dy", "Bi", "Bi", "Rh", "Rh"],
  "frac_coords": [[0.0000, 0.0000, 0.0000], [0.3039, 0.4364, 0.8674], [0.3161, 0.6346, 0.6815], [0.5690, 0.4364, 0.1326], [0.6264, 0.2802, 0.3462], [0.9340, 0.2802, 0.6538], [0.9531, 0.6346, 0.3185], [0.2705, 0.7705, 0.5000], [0.6753, 0.6753, 0.0000], [0.1834, 0.9448, 0.2387], [0.7061, 0.9448, 0.7613]]
}

***

[10]
{
  "formula": "Ta2OsCl",
  "functional": "PBE-GGA",
  "state": "optimized geometry",
  "sg": "Pmmm",
  "e_form_raw_mev_per_atom": 652,
  "e_above_lowest_polymorph_ev_per_atom": 0.743,
  "m_tot_mub_per_atom": 0.000,
  "total_energy_ev_per_atom": -8.543,
  "lattice": [[3.1148, 0.0000, 0.0000], [0.0000, 4.2064, 0.0000], [0.0000, 0.0000, 5.2531]],
  "species": ["Ta", "Ta", "Os", "Cl"],
  "frac_coords": [[0.0000, 0.0000, 0.0000], [0.5000, 0.0000, 0.5000], [0.0000, 0.5000, 0.5000], [0.5000, 0.5000, 0.0000]]
}

***

[11]
{
  "formula": "Tl4RuSe",
  "functional": "PBE-GGA",
  "state": "optimized geometry",
  "sg": "F-43m",
  "e_form_raw_mev_per_atom": 786,
  "m_tot_mub_per_atom": 0.336,
  "total_energy_ev_per_atom": -2.918,
  "lattice": [[0.0000, 4.3739, 4.3739], [4.3739, 0.0000, 4.3739], [4.3739, 4.3739, 0.0000]],
  "species": ["Tl", "Tl", "Tl", "Tl", "Ru", "Se"],
  "frac_coords": [[0.1250, 0.1250, 0.1250], [0.1250, 0.1250, 0.6251], [0.1250, 0.6251, 0.1250], [0.6251, 0.1250, 0.1250], [0.7500, 0.7500, 0.7500], [0.5000, 0.5000, 0.5000]]
}

***

[12]
{
  "formula": "CdReAg",
  "functional": "PBE-GGA",
  "state": "optimized geometry",
  "sg": "Fmm2",
  "e_above_lowest_polymorph_ev_per_atom": 0.043,
  "m_tot_mub_per_atom": 0.000,
  "total_energy_ev_per_atom": -4.891,
  "formation_energy_ev_per_atom": 0.5142,
  "lattice": [[0.0000, 2.2898, 7.3199], [1.5479, 0.0000, 7.3199], [1.5479, 2.2898, 0.0000]],
  "species": ["Cd", "Re", "Ag"],
  "frac_coords": [[0.0000, 0.0000, 0.0000], [0.6671, 0.6671, 0.3329], [0.3306, 0.3306, 0.6694]]
}

***

[13]
{
  "formula": "CeDy2Zn2In2",
  "functional": "PBE-GGA",
  "state": "optimized geometry",
  "sg": "R-3m",
  "m_tot_mub_per_atom": 0.178,
  "total_energy_ev_per_atom": -3.549,
  "formation_energy_ev_per_atom": -0.2405,
  "lattice": [[2.3674, 1.3668, 9.1893], [-2.3674, 1.3668, 9.1893], [0.0000, -2.7336, 9.1893]],
  "species": ["Ce", "Dy", "Dy", "Zn", "Zn", "In", "In"],
  "frac_coords": [[0.0000, 0.0000, 0.0000], [0.1280, 0.1280, 0.1280], [0.8720, 0.8720, 0.8720], [0.3999, 0.3999, 0.3999], [0.6001, 0.6001, 0.6001], [0.2602, 0.2602, 0.2602], [0.7398, 0.7398, 0.7398]]
}

***

[14]
{
  "formula": "BeSiHgTe2",
  "functional": "PBE-GGA",
  "state": "optimized geometry",
  "sg": "P4/mmm",
  "e_form_raw_mev_per_atom": 1311,
  "m_tot_mub_per_atom": 0.000,
  "total_energy_ev_per_atom": -1.835,
  "lattice": [[5.7976, 0.0000, 0.0000], [0.0000, 5.7976, 0.0000], [0.0000, 0.0000, 4.7812]],
  "species": ["Be", "Si", "Hg", "Te", "Te"],
  "frac_coords": [[0.0000, 0.0000, 0.0000], [0.5000, 0.5000, 0.0000], [0.5000, 0.5000, 0.5000], [0.0000, 0.5000, 0.5000], [0.5000, 0.0000, 0.5000]]
}

***

[15]
{
  "formula": "CePmCuGe",
  "functional": "PBE-GGA",
  "state": "optimized geometry",
  "sg": "F-43m",
  "m_tot_mub_per_atom": 0.356,
  "total_energy_ev_per_atom": -5.237,
  "formation_energy_ev_per_atom": -0.3872,
  "lattice": [[0.0000, 3.6094, 3.6094], [3.6094, 0.0000, 3.6094], [3.6094, 3.6094, 0.0000]],
  "species": ["Ce", "Pm", "Cu", "Ge"],
  "frac_coords": [[0.0000, 0.0000, 0.0000], [0.5000, 0.5000, 0.5000], [0.7500, 0.7500, 0.7500], [0.2500, 0.2500, 0.2500]]
}

***

[16]
{
  "formula": "NaSr2Tl6",
  "functional": "PBE-GGA",
  "state": "optimized geometry",
  "sg": "C2/m",
  "e_above_lowest_polymorph_ev_per_atom": 0.055,
  "m_tot_mub_per_atom": 0.000,
  "total_energy_ev_per_atom": -2.261,
  "formation_energy_ev_per_atom": -0.1631,
  "lattice": [[8.2678, -4.5318, 0.0000], [8.2678, 4.5318, 0.0000], [-0.0046, 0.0000, 3.8861]],
  "species": ["Na", "Sr", "Sr", "Tl", "Tl", "Tl", "Tl", "Tl", "Tl"],
  "frac_coords": [[0.0000, 0.0000, 0.0000], [0.3101, 0.3101, 0.4999], [0.6899, 0.6899, 0.5001], [0.0248, 0.6612, 0.0002], [0.3143, 0.6857, 0.5000], [0.3388, 0.9752, 0.9998], [0.6612, 0.0248, 0.0002], [0.6857, 0.3143, 0.5000], [0.9752, 0.3388, 0.9998]]
}

***

[17]
{
  "formula": "LiTcP",
  "functional": "PBE-GGA",
  "state": "optimized geometry",
  "sg": "C2/m",
  "e_above_lowest_polymorph_ev_per_atom": 0.077,
  "m_tot_mub_per_atom": 0.000,
  "total_energy_ev_per_atom": -6.357,
  "formation_energy_ev_per_atom": -0.4602,
  "lattice": [[4.3074, -1.9886, 0.0000], [4.3074, 1.9886, 0.0000], [-4.2992, 0.0000, 5.1314]],
  "species": ["Li", "Li", "Tc", "Tc", "P", "P"],
  "frac_coords": [[0.2307, 0.2307, 0.1433], [0.7693, 0.7693, 0.8567], [0.0958, 0.0958, 0.4292], [0.9042, 0.9042, 0.5708], [0.4431, 0.4431, 0.7893], [0.5569, 0.5569, 0.2107]]
}

***

[18]
{
  "formula": "Y2Er2Pb2N",
  "functional": "PBE-GGA",
  "state": "optimized geometry",
  "sg": "I4/mmm",
  "e_form_raw_mev_per_atom": -887,
  "m_tot_mub_per_atom": 0.000,
  "total_energy_ev_per_atom": -6.287,
  "lattice": [[-2.3529, 2.3529, 8.0455], [2.3529, -2.3529, 8.0455], [2.3529, 2.3529, -8.0455]],
  "species": ["Y", "Y", "Er", "Er", "Pb", "Pb", "N"],
  "frac_coords": [[0.1576, 0.1576, 0.0000], [0.8424, 0.8424, 0.0000], [0.0000, 0.5000, 0.5000], [0.5000, 0.0000, 0.5000], [0.3567, 0.3567, 0.0000], [0.6433, 0.6433, 0.0000], [0.0000, 0.0000, 0.0000]]
}

***

[19]
{
  "formula": "CrIn2Ru",
  "functional": "PBE-GGA",
  "state": "optimized geometry",
  "sg": "I-42d",
  "e_above_lowest_polymorph_ev_per_atom": 0.741,
  "m_tot_mub_per_atom": 0.000,
  "total_energy_ev_per_atom": -5.207,
  "formation_energy_ev_per_atom": 0.8871,
  "lattice": [[-3.6657, 3.6657, 2.7719], [3.6657, -3.6657, 2.7719], [3.6657, 3.6657, -2.7719]],
  "species": ["Cr", "Cr", "In", "In", "In", "In", "Ru", "Ru"],
  "frac_coords": [[0.0000, 0.0000, 0.0000], [0.7500, 0.2500, 0.5000], [0.1257, 0.6250, 0.0007], [0.3750, 0.3757, 0.5007], [0.6243, 0.1250, 0.9993], [0.8750, 0.8743, 0.4993], [0.2500, 0.7500, 0.5000], [0.5000, 0.5000, 0.0000]]
}

***

[20]
{
  "formula": "ThMgHg2",
  "functional": "PBE-GGA",
  "state": "optimized geometry",
  "sg": "Fm-3m",
  "m_tot_mub_per_atom": 0.000,
  "total_energy_ev_per_atom": -2.708,
  "formation_energy_ev_per_atom": -0.3039,
  "lattice": [[0.0000, 3.6851, 3.6851], [3.6851, 0.0000, 3.6851], [3.6851, 3.6851, 0.0000]],
  "species": ["Th", "Mg", "Hg", "Hg"],
  "frac_coords": [[0.0000, 0.0000, 0.0000], [0.5000, 0.5000, 0.5000], [0.2500, 0.2500, 0.2500], [0.7500, 0.7500, 0.7500]]
}

***

Calculated volume (Å³/f.u.), listed in the same order as above: 424, 179, 206, 183, 155, 121, 62, 59, 306, 69, 167, 52, 178, 161, 94, 291, 44, 178, 74, 100